Entry 1:
# PBE-GGA CaLa2GeO, relaxed
data_CaLa2GeO
_space_group_name_H-M_alt 'P 4/m m m'
_space_group_IT_number 123
_space_group_name_Hall '-P 4 2'
_cell_length_a 5.022
_cell_length_b 5.022
_cell_length_c 4.700
_cell_angle_alpha 90.00
_cell_angle_beta 90.00
_cell_angle_gamma 90.00
loop_
_atom_site_label
_atom_site_type_symbol
_atom_site_fract_x
_atom_site_fract_y
_atom_site_fract_z
_atom_site_occupancy
Ca1 Ca 0.000 0.000 0.000 1
La1 La 0.000 0.500 0.500 1
Ge1 Ge 0.500 0.500 0.000 1
O1 O 0.000 0.000 0.500 1
# crystal system: tetragonal
# formation energy without anion corrections: -138.8 kJ per mole of atoms
# DOS at the Fermi energy: 3.95 states/eV/f.u.


Entry 2:
# PBE-GGA ErMgAlS4, relaxed
data_ErMgAlS4
_space_group_name_H-M_alt 'I m m a'
_space_group_IT_number 74
_space_group_name_Hall '-I 2b 2'
_cell_length_a 7.513
_cell_length_b 7.543
_cell_length_c 10.625
_cell_angle_alpha 90.00
_cell_angle_beta 90.00
_cell_angle_gamma 90.00
loop_
_atom_site_label
_atom_site_type_symbol
_atom_site_fract_x
_atom_site_fract_y
_atom_site_fract_z
_atom_site_occupancy
Er1 Er 0.000 0.000 0.000 1
Mg1 Mg 0.250 0.250 0.250 1
Al1 Al 0.000 0.250 0.631 1
S1 S 0.000 0.007 0.253 1
S2 S 0.245 0.250 0.498 1
# crystal system: orthorhombic
# formation energy without anion corrections: -143.7 kJ per mole of atoms


Entry 3:
# PBE-GGA Cs2RbSeBr, relaxed
data_Cs2RbSeBr
_space_group_name_H-M_alt 'P 4/m m m'
_space_group_IT_number 123
_space_group_name_Hall '-P 4 2'
_cell_length_a 6.892
_cell_length_b 6.892
_cell_length_c 6.487
_cell_angle_alpha 90.00
_cell_angle_beta 90.00
_cell_angle_gamma 90.00
loop_
_atom_site_label
_atom_site_type_symbol
_atom_site_fract_x
_atom_site_fract_y
_atom_site_fract_z
_atom_site_occupancy
Cs1 Cs 0.000 0.500 0.000 1
Rb1 Rb 0.000 0.000 0.500 1
Se1 Se 0.000 0.000 0.000 1
Br1 Br 0.500 0.500 0.500 1
# crystal system: tetragonal
# formation energy without anion corrections: -113.3 kJ per mole of atoms


Entry 4:
# PBE-GGA Sm2ThPb, relaxed
data_Sm2ThPb
_space_group_name_H-M_alt 'F m -3 m'
_space_group_IT_number 225
_space_group_name_Hall '-F 4 2 3'
_cell_length_a 7.871
_cell_length_b 7.871
_cell_length_c 7.871
_cell_angle_alpha 90.00
_cell_angle_beta 90.00
_cell_angle_gamma 90.00
loop_
_atom_site_label
_atom_site_type_symbol
_atom_site_fract_x
_atom_site_fract_y
_atom_site_fract_z
_atom_site_occupancy
Sm1 Sm 0.250 0.250 0.250 1
Th1 Th 0.000 0.000 0.000 1
Pb1 Pb 0.000 0.000 0.500 1
# offset from the most stable computed form: 200 meV per atom
# crystal system: cubic
# DOS at the Fermi energy: 4.80 states/eV/f.u.
# calculated formation energy: -0.057 eV/atom


Entry 5:
# PBE-GGA AcPmSm2S4, relaxed
data_AcPmSm2S4
_space_group_name_H-M_alt 'P 1 2/m 1'
_space_group_IT_number 10
_space_group_name_Hall '-P 2y'
_cell_length_a 7.103
_cell_length_b 4.056
_cell_length_c 7.122
_cell_angle_alpha 90.00
_cell_angle_beta 109.08
_cell_angle_gamma 90.00
loop_
_atom_site_label
_atom_site_type_symbol
_atom_site_fract_x
_atom_site_fract_y
_atom_site_fract_z
_atom_site_occupancy
Ac1 Ac 0.000 0.000 0.000 1
Pm1 Pm 0.500 0.500 0.000 1
Sm1 Sm 0.000 0.500 0.500 1
Sm2 Sm 0.500 0.000 0.500 1
S1 S 0.255 0.000 0.742 1
S2 S 0.263 0.500 0.265 1
# crystal system: monoclinic
# formation energy without anion corrections: -193.2 kJ per mole of atoms
# DOS at the Fermi energy: 5.15 states/eV/f.u.


Entry 6:
# PBE-GGA HoPaNi10, relaxed
data_HoPaNi10
_space_group_name_H-M_alt 'P m m m'
_space_group_IT_number 47
_space_group_name_Hall '-P 2 2'
_cell_length_a 3.988
_cell_length_b 4.857
_cell_length_c 8.363
_cell_angle_alpha 90.00
_cell_angle_beta 90.00
_cell_angle_gamma 90.00
loop_
_atom_site_label
_atom_site_type_symbol
_atom_site_fract_x
_atom_site_fract_y
_atom_site_fract_z
_atom_site_occupancy
Ho1 Ho 0.000 0.000 0.000 1
Pa1 Pa 0.000 0.500 0.500 1
Ni1 Ni 0.000 0.000 0.337 1
Ni2 Ni 0.000 0.500 0.173 1
Ni3 Ni 0.500 0.000 0.500 1
Ni4 Ni 0.500 0.252 0.252 1
Ni5 Ni 0.500 0.500 0.000 1
# crystal system: orthorhombic
# DOS at the Fermi energy: 14.23 states/eV/f.u.
# calculated formation energy: -0.367 eV/atom


Entry 7:
# PBE-GGA Na3Tl3AgO8, relaxed
data_Na3Tl3AgO8
_space_group_name_H-M_alt 'C 1 2/m 1'
_space_group_IT_number 12
_space_group_name_Hall '-C 2y'
_cell_length_a 11.638
_cell_length_b 6.800
_cell_length_c 6.820
_cell_angle_alpha 90.00
_cell_angle_beta 125.35
_cell_angle_gamma 90.00
loop_
_atom_site_label
_atom_site_type_symbol
_atom_site_fract_x
_atom_site_fract_y
_atom_site_fract_z
_atom_site_occupancy
Na1 Na 0.000 0.000 0.000 1
Na2 Na 0.250 0.250 0.000 1
Tl1 Tl 0.000 0.500 0.500 1
Tl2 Tl 0.250 0.250 0.500 1
Ag1 Ag 0.000 0.000 0.500 1
O1 O 0.009 0.236 0.289 1
O2 O 0.216 0.000 0.707 1
O3 O 0.243 0.500 0.724 1
# crystal system: monoclinic
# formation energy without anion corrections: -77.3 kJ per mole of atoms
# DOS at the Fermi energy: 2.29 states/eV/f.u.


Entry 8:
# PBE-GGA La5CeS8, relaxed
data_La5CeS8
_space_group_name_H-M_alt 'I -4'
_space_group_IT_number 82
_space_group_name_Hall 'I -4'
_cell_length_a 8.716
_cell_length_b 8.716
_cell_length_c 8.715
_cell_angle_alpha 90.00
_cell_angle_beta 90.00
_cell_angle_gamma 90.00
loop_
_atom_site_label
_atom_site_type_symbol
_atom_site_fract_x
_atom_site_fract_y
_atom_site_fract_z
_atom_site_occupancy
La1 La 0.000 0.000 0.000 1
La2 La 0.124 0.251 0.623 1
Ce1 Ce 0.000 0.500 0.250 1
S1 S 0.074 0.177 0.299 1
S2 S 0.076 0.326 0.950 1
# crystal system: tetragonal
# formation energy without anion corrections: -206.7 kJ per mole of atoms
# DOS at the Fermi energy: 14.79 states/eV/f.u.


Entry 9:
# PBE-GGA KSn2Sb, relaxed
data_KSn2Sb
_space_group_name_H-M_alt 'R -3 m'
_space_group_IT_number 166
_space_group_name_Hall '-R 3 2"'
_cell_length_a 4.0894
_cell_length_b 4.0894
_cell_length_c 28.5185
_cell_angle_alpha 90.00
_cell_angle_beta 90.00
_cell_angle_gamma 120.00
loop_
_atom_site_label
_atom_site_type_symbol
_atom_site_fract_x
_atom_site_fract_y
_atom_site_fract_z
_atom_site_occupancy
K1 K 0.0000 0.0000 0.0000 1
Sn1 Sn 0.0000 0.0000 0.2333 1
Sb1 Sb 0.0000 0.0000 0.5000 1
# crystal system: trigonal
# formation energy without anion corrections: -1.4 kJ per mole of atoms
# DOS at the Fermi energy: 2.11 states/eV/f.u.


Entry 10:
# PBE-GGA YAs2Pt, relaxed
data_YAs2Pt
_space_group_name_H-M_alt 'F m -3 m'
_space_group_IT_number 225
_space_group_name_Hall '-F 4 2 3'
_cell_length_a 6.767
_cell_length_b 6.767
_cell_length_c 6.767
_cell_angle_alpha 90.00
_cell_angle_beta 90.00
_cell_angle_gamma 90.00
loop_
_atom_site_label
_atom_site_type_symbol
_atom_site_fract_x
_atom_site_fract_y
_atom_site_fract_z
_atom_site_occupancy
Y1 Y 0.000 0.000 0.000 1
As1 As 0.250 0.250 0.250 1
Pt1 Pt 0.000 0.000 0.500 1
# crystal system: cubic
# DOS at the Fermi energy: 3.86 states/eV/f.u.
# calculated formation energy: -0.491 eV/atom


Entry 11:
# PBE-GGA LiCeTm, relaxed
data_LiCeTm
_space_group_name_H-M_alt 'I 4 m m'
_space_group_IT_number 107
_space_group_name_Hall 'I 4 -2'
_cell_length_a 3.411
_cell_length_b 3.411
_cell_length_c 13.954
_cell_angle_alpha 90.00
_cell_angle_beta 90.00
_cell_angle_gamma 90.00
loop_
_atom_site_label
_atom_site_type_symbol
_atom_site_fract_x
_atom_site_fract_y
_atom_site_fract_z
_atom_site_occupancy
Li1 Li 0.000 0.000 0.000 1
Ce1 Ce 0.000 0.000 0.335 1
Tm1 Tm 0.000 0.000 0.658 1
# offset from the most stable computed form: 22 meV per atom
# crystal system: tetragonal
# DOS at the Fermi energy: 5.90 states/eV/f.u.
# calculated formation energy: 0.176 eV/atom


Entry 12:
# PBE-GGA PrNdS, relaxed
data_PrNdS
_space_group_name_H-M_alt 'P 3 m 1'
_space_group_IT_number 156
_space_group_name_Hall 'P 3 -2"'
_cell_length_a 3.9787
_cell_length_b 3.9787
_cell_length_c 6.6262
_cell_angle_alpha 90.00
_cell_angle_beta 90.00
_cell_angle_gamma 120.00
loop_
_atom_site_label
_atom_site_type_symbol
_atom_site_fract_x
_atom_site_fract_y
_atom_site_fract_z
_atom_site_occupancy
Pr1 Pr 0.0000 0.0000 0.0000 1
Nd1 Nd 0.3333 0.6667 0.5135 1
S1 S 0.6667 0.3333 0.2599 1
# offset from the most stable computed form: 0 meV per atom
# crystal system: trigonal
# formation energy without anion corrections: -119.5 kJ per mole of atoms
# DOS at the Fermi energy: 1.00 states/eV/f.u.


- Which formula does entry 11 have?
  LiCeTm